1.
An optimized crystal structure of MnNi2Os. Source: Alexandria via LeMat-Bulk, functional PBE.

abc: 4.4332 4.4332 4.4331
angles: 131.60 131.60 70.86
Closest atoms and distances in Å follow each position.
Sites, in units of the cell vectors:
Os1 0.5000 0.5000 0.0000  4 Mn 2.56, 8 Ni 2.56-2.57
Mn1 0.2500 0.7500 0.5000  4 Os 2.56, 8 Ni 2.56-2.57
Ni1 0.7500 0.2500 0.5000  4 Ni 2.56, 4 Os 2.56, 4 Mn 2.57
Ni2 0.0000 0.0000 0.0000  4 Mn 2.56, 4 Ni 2.56, 4 Os 2.57

## Properties
space-group type = I-4m2, No. 119
offset from the most stable computed form = 0.0 meV/atom
D(E_F) = 1.07 states/eV/atom
V = 48 Å³ per cell
energy of formation from the pure elements = 0.03 eV per atom
energy = -7.964 eV per atom

2.
An optimized crystal structure of MnNiOs2. Source: Alexandria via LeMat-Bulk, functional PBE.

abc: 2.6868 4.6282 5.2475
angles: 53.77 90.00 90.00
Closest atoms and distances in Å follow each position.
Sites, in units of the cell vectors:
Ni1 0.0000 0.0000 0.5000  6 Os 2.62, 4 Mn 2.68, 2 Ni 2.69
Mn1 0.5000 0.5000 0.5000  6 Os 2.62, 4 Ni 2.68, 2 Mn 2.69
Os1 0.0000 0.0000 0.0000  4 Mn 2.62, 2 Ni 2.62, 6 Os 2.68-2.69
Os2 0.5000 0.5000 0.0000  4 Ni 2.62, 2 Mn 2.62, 6 Os 2.68-2.69

## Properties
space-group type = P2/m, No. 10
offset from the most stable computed form = 42.7 meV/atom
D(E_F) = 1.02 states/eV/atom
V = 53 Å³ per cell
energy of formation from the pure elements = 0.10 eV per atom
energy = -9.254 eV per atom

3.
An optimized crystal structure of MnNi2Os. Source: Alexandria via LeMat-Bulk, functional PBE.

abc: 4.0630 4.0630 4.0630
angles: 60.00 60.00 60.00
Closest atoms and distances in Å follow each position.
Sites, in units of the cell vectors:
Mn1 0.0000 0.0000 0.0000  8 Ni 2.49
Ni1 0.2500 0.2500 0.2500  4 Mn 2.49, 4 Os 2.49
Ni2 0.7500 0.7500 0.7500  4 Os 2.49, 4 Mn 2.49
Os1 0.5000 0.5000 0.5000  8 Ni 2.49

## Properties
space-group type = Fm-3m, No. 225
offset from the most stable computed form = 336.8 meV/atom
D(E_F) = 1.77 states/eV/atom
V = 47 Å³ per cell
energy of formation from the pure elements = 0.36 eV per atom
energy = -7.628 eV per atom

4.
An optimized crystal structure of MnNiOs2. Source: Alexandria via LeMat-Bulk, functional PBE.

abc: 2.6305 2.6305 8.6509
angles: 90.00 90.00 116.02
Closest atoms and distances in Å follow each position.
Sites, in units of the cell vectors:
Ni1 0.5000 0.5000 0.7500  4 Os 2.58, 6 Ni 2.63-2.79
Os1 0.0000 0.0000 0.4995  2 Mn 2.57, 2 Ni 2.58, 6 Os 2.63-2.79
Os2 0.0000 0.0000 0.0005  2 Mn 2.57, 2 Ni 2.58, 6 Os 2.63-2.79
Mn1 0.5000 0.5000 0.2500  4 Os 2.57, 6 Mn 2.63-2.79

## Properties
space-group type = Cmmm, No. 65
offset from the most stable computed form = 284.8 meV/atom
D(E_F) = 1.37 states/eV/atom
V = 54 Å³ per cell
energy of formation from the pure elements = 0.34 eV per atom
energy = -9.012 eV per atom

5.
An optimized crystal structure of MnNiOs2. Source: Alexandria via LeMat-Bulk, functional PBE.

abc: 2.7079 3.7258 5.2229
angles: 90.00 90.00 90.00
Closest atoms and distances in Å follow each position.
Sites, in units of the cell vectors:
Os1 0.5000 0.5000 0.2436  2 Ni 2.61-2.62, 6 Os 2.63-2.71, 4 Mn 2.70
Os2 0.0000 0.0000 0.0011  2 Mn 2.55-2.67, 6 Os 2.63-2.71, 4 Ni 2.67
Ni1 0.5000 0.5000 0.7424  4 Mn 2.60, 6 Os 2.61-2.67, 2 Ni 2.71
Mn1 0.0000 0.0000 0.5129  6 Os 2.55-2.70, 4 Ni 2.60, 2 Mn 2.71

## Properties
space-group type = Pmm2, No. 25
offset from the most stable computed form = 11.9 meV/atom
D(E_F) = 0.85 states/eV/atom
V = 53 Å³ per cell
energy of formation from the pure elements = 0.07 eV per atom
energy = -9.285 eV per atom

6.
An optimized crystal structure of MnNi2Os. Source: Alexandria via LeMat-Bulk, functional PBE.

abc: 2.6191 2.6191 7.0307
angles: 90.00 90.00 89.97
Closest atoms and distances in Å follow each position.
Sites, in units of the cell vectors:
Ni1 0.0000 0.0000 0.0000  8 Ni 2.51-2.62, 4 Mn 2.51
Ni2 0.5000 0.5000 0.2412  8 Ni 2.51-2.62, 4 Os 2.60
Os1 0.0000 0.0000 0.5005  4 Mn 2.59, 4 Ni 2.60, 4 Os 2.62
Mn1 0.5000 0.5000 0.7582  4 Ni 2.51, 4 Os 2.59, 4 Mn 2.62

## Properties
space-group type = P4mm, No. 99
offset from the most stable computed form = 63.7 meV/atom
D(E_F) = 1.34 states/eV/atom
V = 48 Å³ per cell
energy of formation from the pure elements = 0.09 eV per atom
energy = -7.901 eV per atom

7.
An optimized crystal structure of MnNiOs3. Source: Alexandria via LeMat-Bulk, functional PBE.

abc: 4.3407 4.3407 4.3407
angles: 90.00 90.00 90.00
Closest atoms and distances in Å follow each position.
Sites, in units of the cell vectors:
Os1 0.5000 0.0000 0.0000  2 Ni 2.17
Ni1 0.0000 0.0000 0.0000  6 Os 2.17
Mn1 0.5000 0.5000 0.5000  12 Os 3.07
Os2 0.0000 0.0000 0.5000  2 Ni 2.17
Os3 0.0000 0.5000 0.0000  2 Ni 2.17

## Properties
space-group type = Pm-3m, No. 221
offset from the most stable computed form = 295.5 meV/atom
D(E_F) = 1.81 states/eV/atom
V = 82 Å³ per cell
energy of formation from the pure elements = 2.16 eV per atom
energy = -7.568 eV per atom

8.
An optimized crystal structure of MnNi2Os. Source: Alexandria via LeMat-Bulk, functional PBE.

abc: 3.6943 2.5931 5.7369
angles: 63.17 90.00 90.00
Closest atoms and distances in Å follow each position.
Sites, in units of the cell vectors:
Ni1 0.0000 0.5025 0.4976  4 Ni 2.53-2.59, 4 Os 2.59, 4 Mn 2.60
Ni2 0.0000 0.9975 0.0024  4 Ni 2.53-2.59, 4 Os 2.59, 4 Mn 2.60
Mn1 0.5000 0.7500 0.7500  2 Os 2.56, 2 Mn 2.59, 8 Ni 2.60
Os1 0.5000 0.2500 0.2500  2 Mn 2.56, 8 Ni 2.59, 2 Os 2.59

## Properties
space-group type = Pmmm, No. 47
offset from the most stable computed form = 45.0 meV/atom
D(E_F) = 1.03 states/eV/atom
V = 49 Å³ per cell
energy of formation from the pure elements = 0.07 eV per atom
energy = -7.920 eV per atom